Run 1
# KAgHg (meta-GGA SCAN, single point on PBEsol structure)
data_KAgHg
_symmetry_space_group_name_H-M 'P 1'
_symmetry_Int_Tables_number 1
_symmetry_space_group_name_Hall 'P 1'
_cell_length_a 4.278
_cell_length_b 4.834
_cell_length_c 4.834
_cell_angle_alpha 120.00
_cell_angle_beta 90.00
_cell_angle_gamma 90.00
loop_
_atom_site_label
_atom_site_fract_x
_atom_site_fract_y
_atom_site_fract_z
Ag1 0.000 0.000 0.000
Hg1 0.000 0.333 0.667
K1 0.500 0.667 0.333
# DOS(E_F), states/eV/f.u.: 0.84
# Crystal system: hexagonal

---

Run 2
# KAgHg (meta-GGA SCAN, single point on PBEsol structure)
data_KAgHg
_symmetry_space_group_name_H-M 'P 1'
_symmetry_Int_Tables_number 1
_symmetry_space_group_name_Hall 'P 1'
_cell_length_a 5.079
_cell_length_b 5.079
_cell_length_c 5.079
_cell_angle_alpha 60.00
_cell_angle_beta 60.00
_cell_angle_gamma 60.00
loop_
_atom_site_label
_atom_site_fract_x
_atom_site_fract_y
_atom_site_fract_z
K1 0.000 0.000 0.000
Ag1 0.500 0.500 0.500
Hg1 0.250 0.250 0.250
# DOS(E_F), states/eV/f.u.: 1.12
# Crystal system: cubic

---

Which structure is the most stable? The one labeled run 1.

---

Run 1
# KAg2Hg (meta-GGA SCAN, single point on PBEsol structure)
data_KAg2Hg
_symmetry_space_group_name_H-M 'P 1'
_symmetry_Int_Tables_number 1
_symmetry_space_group_name_Hall 'P 1'
_cell_length_a 2.950
_cell_length_b 4.838
_cell_length_c 6.763
_cell_angle_alpha 90.00
_cell_angle_beta 100.72
_cell_angle_gamma 90.00
loop_
_atom_site_label
_atom_site_fract_x
_atom_site_fract_y
_atom_site_fract_z
Ag1 0.698 0.000 0.813
Ag2 0.302 0.000 0.187
K1 0.000 0.500 0.500
Hg1 0.500 0.500 0.000
# DOS(E_F), states/eV/f.u.: 1.31
# Crystal system: monoclinic

---

Run 2
# KAg2Hg (meta-GGA SCAN, single point on PBEsol structure)
data_KAg2Hg
_symmetry_space_group_name_H-M 'P 1'
_symmetry_Int_Tables_number 1
_symmetry_space_group_name_Hall 'P 1'
_cell_length_a 4.744
_cell_length_b 4.750
_cell_length_c 6.357
_cell_angle_alpha 111.89
_cell_angle_beta 90.00
_cell_angle_gamma 119.96
loop_
_atom_site_label
_atom_site_fract_x
_atom_site_fract_y
_atom_site_fract_z
Hg1 0.555 0.110 0.665
Ag1 0.939 0.878 0.818
Ag2 0.257 0.514 0.771
K1 0.749 0.497 0.246
# DOS(E_F), states/eV/f.u.: 0.95
# Crystal system: trigonal

---

Run 3
# KAg2Hg (meta-GGA SCAN, single point on PBEsol structure)
data_KAg2Hg
_symmetry_space_group_name_H-M 'P 1'
_symmetry_Int_Tables_number 1
_symmetry_space_group_name_Hall 'P 1'
_cell_length_a 4.962
_cell_length_b 5.049
_cell_length_c 4.962
_cell_angle_alpha 119.43
_cell_angle_beta 90.00
_cell_angle_gamma 119.43
loop_
_atom_site_label
_atom_site_fract_x
_atom_site_fract_y
_atom_site_fract_z
Ag1 0.250 0.500 0.750
Ag2 0.750 0.500 0.250
K1 0.000 0.000 0.000
Hg1 0.500 0.000 0.500
# DOS(E_F), states/eV/f.u.: 1.18
# Crystal system: tetragonal

---

Which structure is the most stable? The one labeled run 2.